Record 1
CsSrHg2C, optimized geometry, DFT PBE; volume = 30.951 Å³/atom; space-group type = No. 123; formation enthalpy at 0 K = 0.64 eV/atom; crystal system = tetragonal; DOS(E_F) = 3.7 states/eV per cell
1.0
5.437 0.000 0.000
0.000 5.437 0.000
0.000 0.000 5.236
Cs Sr Hg C
1 1 2 1
Cartesian
0.000 0.000 0.000
2.718 2.718 0.000
0.000 2.718 2.618
2.718 0.000 2.618
2.718 2.718 2.618



Record 2
CsZnHgC2, optimized geometry, DFT PBE; volume = 24.964 Å³/atom; space-group type = No. 123; formation enthalpy at 0 K = 2.11 eV/atom; crystal system = tetragonal; DOS(E_F) = 2.0 states/eV per cell
1.0
4.415 0.000 0.000
0.000 4.415 0.000
0.000 0.000 6.403
Cs Zn Hg C
1 1 1 2
Cartesian
0.000 0.000 0.000
0.000 0.000 3.201
2.208 2.208 0.000
0.000 2.208 3.201
2.208 0.000 3.201



Record 3
CsHoC2O6, optimized geometry, DFT PBE; volume = 14.632 Å³/atom; space-group type = No. 15; uncorrected formation energy = -2132 meV/atom; crystal system = monoclinic; DOS(E_F) = 0.0 states/eV per cell
1.0
4.535 -4.654 0.000
4.535 4.654 0.000
-2.766 0.000 6.932
Cs Ho C O
2 2 4 12
Cartesian
2.461 3.748 5.199
3.844 -3.748 1.733
3.844 0.871 1.733
2.461 -0.871 5.199
0.423 1.207 5.328
1.806 -1.207 1.862
4.498 1.207 5.071
5.881 -1.207 1.604
2.272 2.567 1.679
0.612 0.326 4.393
1.995 -0.326 0.927
1.262 1.138 6.342
5.415 2.567 1.788
3.659 1.138 4.057
2.645 -1.138 2.876
0.889 -2.567 5.145
5.042 -1.138 0.591
4.309 0.326 6.005
5.692 -0.326 2.539
4.032 -2.567 5.254



Record 4
CsC3I, optimized geometry, DFT PBE; volume = 33.440 Å³/atom; space-group type = No. 221; uncorrected formation energy = 4014 meV/atom; crystal system = cubic; DOS(E_F) = 8.4 states/eV per cell; energy relative to the lowest polymorph listed for this composition = 19.381 kcal/mol of atoms
1.0
5.509 0.000 0.000
0.000 5.509 0.000
0.000 0.000 5.509
Cs C I
1 3 1
Cartesian
0.000 0.000 0.000
0.000 0.000 2.755
0.000 2.755 0.000
2.755 0.000 0.000
2.755 2.755 2.755



Record 5
Cs2CI, optimized geometry, DFT PBE; volume = 44.114 Å³/atom; space-group type = No. 225; uncorrected formation energy = 433 meV/atom; crystal system = cubic; DOS(E_F) = 0.0 states/eV per cell; energy relative to the lowest polymorph listed for this composition = 0.442 kcal/mol of atoms
1.0
0.000 4.452 4.452
4.452 0.000 4.452
4.452 4.452 0.000
Cs C I
2 1 1
Cartesian
2.226 2.226 2.226
6.678 6.678 6.678
0.000 0.000 0.000
4.452 4.452 4.452



Record 6
CsC3I, optimized geometry, DFT PBE; volume = 19.666 Å³/atom; space-group type = No. 221; uncorrected formation energy = 3174 meV/atom; crystal system = cubic; DOS(E_F) = 3.4 states/eV per cell; energy relative to the lowest polymorph listed for this composition = 0.000 kcal/mol of atoms
1.0
4.616 0.000 0.000
0.000 4.616 0.000
0.000 0.000 4.616
Cs C I
1 3 1
Cartesian
0.000 0.000 0.000
0.000 2.308 2.308
2.308 0.000 2.308
2.308 2.308 0.000
2.308 2.308 2.308



Record 7
CsCI2, optimized geometry, DFT PBE; volume = 39.360 Å³/atom; space-group type = No. 225; uncorrected formation energy = 1192 meV/atom; crystal system = cubic; DOS(E_F) = 15.6 states/eV per cell
1.0
0.000 4.286 4.286
4.286 0.000 4.286
4.286 4.286 0.000
Cs C I
1 1 2
Cartesian
0.000 0.000 0.000
4.286 4.286 4.286
2.143 2.143 2.143
6.429 6.429 6.429



Record 8
CsCI3, optimized geometry, DFT PBE; volume = 86.245 Å³/atom; space-group type = No. 221; uncorrected formation energy = 1637 meV/atom; crystal system = cubic; DOS(E_F) = 54.0 states/eV per cell; energy relative to the lowest polymorph listed for this composition = 28.765 kcal/mol of atoms
1.0
7.555 0.000 0.000
0.000 7.555 0.000
0.000 0.000 7.555
Cs C I
1 1 3
Cartesian
0.000 0.000 0.000
3.777 3.777 3.777
0.000 0.000 3.777
0.000 3.777 0.000
3.777 0.000 0.000